# Tb11Er9Sc4, optimized geometry, DFT PBE
data_Tb11Er9Sc4
_cell_length_a 16.500
_cell_length_b 24.978
_cell_length_c 3.550
_cell_angle_alpha 90.00
_cell_angle_beta 90.00
_cell_angle_gamma 90.00
_space_group_name_H-M_alt 'C m m m'
_space_group_IT_number 65
_space_group_name_Hall '-C 2 2'
loop_
_atom_site_label
_atom_site_fract_x
_atom_site_fract_y
_atom_site_fract_z
Tb1 0.000 0.000 0.000
Tb2 0.000 0.160 0.000
Tb3 0.000 0.370 0.000
Tb4 0.202 0.500 0.000
Tb5 0.226 0.180 0.000
Er1 0.000 0.500 0.500
Er2 0.103 0.269 0.500
Er3 0.145 0.072 0.500
Sc1 0.156 0.398 0.500
# E = -232.5 eV for the cell shown
# Energy of formation = 0.04 eV/atom
# Magnetization = 0.00 μB/f.u.

# CaIr2, optimized geometry, DFT PBE
data_CaIr2
_cell_length_a 10.144
_cell_length_b 5.218
_cell_length_c 4.593
_cell_angle_alpha 90.00
_cell_angle_beta 90.00
_cell_angle_gamma 90.00
_space_group_name_H-M_alt 'C m c m'
_space_group_IT_number 63
_space_group_name_Hall '-C 2c 2'
loop_
_atom_site_label
_atom_site_fract_x
_atom_site_fract_y
_atom_site_fract_z
Ca1 0.000 0.245 0.250
Ir1 0.228 0.129 0.750
# E = -81.9 eV for the cell shown
# Energy of formation = -0.25 eV/atom
# Magnetization = 0.00 μB/f.u.

# NaSmGa, optimized geometry, DFT PBE
data_NaSmGa
_cell_length_a 4.714
_cell_length_b 19.280
_cell_length_c 3.806
_cell_angle_alpha 90.00
_cell_angle_beta 90.00
_cell_angle_gamma 90.00
_space_group_name_H-M_alt 'C m c m'
_space_group_IT_number 63
_space_group_name_Hall '-C 2c 2'
loop_
_atom_site_label
_atom_site_fract_x
_atom_site_fract_y
_atom_site_fract_z
Na1 0.000 0.210 0.250
Sm1 0.000 0.423 0.750
Ga1 0.000 0.048 0.750
# E = -38.8 eV for the cell shown
# Energy of formation = -0.21 eV/atom
# Magnetization = 0.00 μB/f.u.

# CsAsSe2N, optimized geometry, DFT PBE
data_CsAsSe2N
_cell_length_a 6.033
_cell_length_b 6.033
_cell_length_c 4.439
_cell_angle_alpha 90.00
_cell_angle_beta 90.00
_cell_angle_gamma 90.00
_space_group_name_H-M_alt 'P 4/m m m'
_space_group_IT_number 123
_space_group_name_Hall '-P 4 2'
loop_
_atom_site_label
_atom_site_fract_x
_atom_site_fract_y
_atom_site_fract_z
Cs1 0.000 0.000 0.000
As1 0.500 0.500 0.500
Se1 0.000 0.500 0.000
N1 0.000 0.000 0.500
# E = -10.9 eV for the cell shown
# Uncorrected formation energy = 1.9797 eV per atom
# Magnetization = 0.81 μB/f.u.
# Polymorph energy (0 for the lowest one) = 7.65 eV/f.u.

# Ce3Zn8Ag3, optimized geometry, DFT PBE
data_Ce3Zn8Ag3
_cell_length_a 4.529
_cell_length_b 8.916
_cell_length_c 13.480
_cell_angle_alpha 90.00
_cell_angle_beta 90.00
_cell_angle_gamma 90.00
_space_group_name_H-M_alt 'I m m m'
_space_group_IT_number 71
_space_group_name_Hall '-I 2 2'
loop_
_atom_site_label
_atom_site_fract_x
_atom_site_fract_y
_atom_site_fract_z
Ce1 0.000 0.000 0.000
Ce2 0.000 0.000 0.295
Zn1 0.000 0.282 0.139
Zn2 0.000 0.360 0.333
Ag1 0.000 0.202 0.500
Ag2 0.000 0.500 0.000
# E = -80.0 eV for the cell shown
# Energy of formation = -0.25 eV/atom
# Magnetization = 2.98 μB/f.u.

# Tl2Sn2Bi, optimized geometry, DFT PBE
data_Tl2Sn2Bi
_cell_length_a 9.272
_cell_length_b 9.272
_cell_length_c 3.531
_cell_angle_alpha 90.00
_cell_angle_beta 90.00
_cell_angle_gamma 90.00
_space_group_name_H-M_alt 'P 4/m b m'
_space_group_IT_number 127
_space_group_name_Hall '-P 4 2ab'
loop_
_atom_site_label
_atom_site_fract_x
_atom_site_fract_y
_atom_site_fract_z
Tl1 0.131 0.369 0.000
Sn1 0.169 0.669 0.500
Bi1 0.000 0.000 0.500
# E = -32.3 eV for the cell shown
# Energy of formation = 0.10 eV/atom
# Magnetization = 0.00 μB/f.u.
# Polymorph energy (0 for the lowest one) = 0.40 eV/f.u.